Computed, not measured: crystalline Tl2CoF5 at its relaxed geometry at the GGA+U level of DFT.

a b c (Å): 5.9581 7.6644 12.2468
angles (deg): 90.00 90.00 90.00
Closest atoms and distances in Å follow each position.
Fractional positions:
Tl1 0.7500 0.5425 0.2884  8 F 2.84-3.01
Tl2 0.2500 0.4575 0.7116  8 F 2.84-3.01
Tl3 0.2500 0.9575 0.7884  8 F 2.84-3.01
Tl4 0.7500 0.0425 0.2116  8 F 2.84-3.01
Tl5 0.7500 0.8502 0.5800  7 F 2.79-3.05
Tl6 0.2500 0.1498 0.4200  7 F 2.79-3.05
Tl7 0.2500 0.6498 0.0800  7 F 2.79-3.05
Tl8 0.7500 0.3502 0.9200  7 F 2.79-3.05
Co1 0.7500 0.8354 0.9421  4 F 1.84-1.93
Co2 0.2500 0.1646 0.0579  4 F 1.84-1.93
Co3 0.2500 0.6646 0.4421  4 F 1.84-1.93
Co4 0.7500 0.3354 0.5579  4 F 1.84-1.93
F1 0.7500 0.7352 0.0825  1 Co 1.88
F2 0.2500 0.2648 0.9175  1 Co 1.88
F3 0.2500 0.7648 0.5825  1 Co 1.88
F4 0.7500 0.2352 0.4175  1 Co 1.88
F5 0.5147 0.6809 0.8931  1 Co 1.93
F6 0.4853 0.3191 0.1069  1 Co 1.93
F7 0.4853 0.8191 0.3931  1 Co 1.93
F8 0.0147 0.3191 0.1069  1 Co 1.93
F9 0.5147 0.1809 0.6069  1 Co 1.93
F10 0.9853 0.6809 0.8931  1 Co 1.93
F11 0.9853 0.1809 0.6069  1 Co 1.93
F12 0.0147 0.8191 0.3931  1 Co 1.93
F13 0.5000 0.0000 0.0000  2 Co 2.08
F14 0.5000 0.5000 0.5000  2 Co 2.08
F15 0.0000 0.0000 0.0000  2 Co 2.08
F16 0.0000 0.5000 0.5000  2 Co 2.08
F17 0.7500 0.9664 0.8158  1 Co 1.84
F18 0.2500 0.0336 0.1842  1 Co 1.84
F19 0.2500 0.5336 0.3157  1 Co 1.84
F20 0.7500 0.4664 0.6842  1 Co 1.84

Results
DFT total energy, eV/atom: -4.323

---

Computed, not measured: crystalline Tl3CoF4 at its relaxed geometry at the GGA+U level of DFT.

a b c (Å): 7.6860 7.6860 7.6860
angles (deg): 60.24 138.43 138.43
Closest atoms and distances in Å follow each position.
Fractional positions:
Tl1 0.0000 0.5000 0.5000  4 F 2.63
Tl2 0.5000 0.7500 0.2500  4 F 2.90
Tl3 0.5000 0.2500 0.7500  4 F 2.90
Co1 0.0000 0.0000 0.0000  4 F 1.94
F1 0.0000 0.7127 0.1062  1 Co 1.94
F2 0.3934 0.2873 0.2873  1 Co 1.94
F3 0.6066 0.8938 0.8938  1 Co 1.94
F4 0.0000 0.1062 0.7127  1 Co 1.94

Results
DFT total energy, eV/atom: -4.004